A plane-wave DFT calculation with GGA+U was carried out for crystalline VCrIrO6 at its relaxed geometry.

Lattice parameters (Å, degrees): 4.586 4.586 9.074 90.00 90.00 90.00
Space group P4_2nm (No. 102)
Symmetry-distinct sites (fractional):
V: 0.000 0.000 0.000
Cr: 0.000 0.000 0.331
Ir: 0.000 0.000 0.666
O: 0.194 0.194 0.838
O: 0.197 0.197 0.159
O: 0.197 0.197 0.497

Output
Calculated volume ... 10.60 A^3/atom
Calculated total energy ... -0.273 Ha/atom